Below is a relaxed structure of Dy2Sc2Bi2P, with properties calculated at the PBE level.

Geometry as POSCAR:
```
Dy2Sc2Bi2P
1.0
4.8381 0.0000 0.0000
0.0000 4.8381 0.0000
-2.4191 -2.4191 8.0632
P Dy Bi Sc
1 2 2 2
Direct
0.0000 0.0000 0.0000
0.1666 0.1666 0.3333
0.8334 0.8334 0.6667
0.6366 0.6366 0.2732
0.3634 0.3634 0.7268
0.0000 0.5000 0.0000
0.5000 0.0000 0.0000
```

Output
* calculated formation energy: -0.840 eV per atom

---

Below is a relaxed structure of Dy4Bi2PSe, with properties calculated at the PBE level.

Geometry as POSCAR:
```
Dy4Bi2PSe
1.0
4.2305 0.0000 0.0000
0.0000 7.4325 -0.1897
0.0000 2.5743 6.8688
Se Bi Dy P
1 2 4 1
Direct
0.5000 0.5000 0.0000
0.0000 0.0000 0.0000
0.5000 0.0000 0.5000
0.5000 0.2779 0.7323
0.0000 0.7269 0.7478
0.0000 0.2731 0.2522
0.5000 0.7221 0.2677
0.0000 0.5000 0.5000
```

Output
* energy relative to the elements, uncorrected: -1.259 eV per atom